1.
! LiCr2Bi PBE-GGA optimized geometry; values from VASP
&SYSTEM
  ibrav = 0, nat = 8, ntyp = 3
/
ATOMIC_SPECIES
Cr 52.00 Cr.upf
Li 6.94 Li.upf
Bi 208.98 Bi.upf
CELL_PARAMETERS angstrom
3.677 0.000 0.000
0.000 3.677 0.000
1.839 1.839 9.675
ATOMIC_POSITIONS angstrom
Cr 2.515 0.919 2.419
Cr 1.163 2.758 2.419
Cr 4.597 4.354 7.256
Cr 2.758 3.001 7.256
Li 1.839 1.839 0.000
Li 1.839 3.677 4.837
Bi 3.677 1.839 4.837
Bi 0.000 0.000 0.000
! **VASP energy**: -43.709 eV for the cell shown


2.
! La2HoNpP4 PBE-GGA optimized geometry; values from VASP
&SYSTEM
  ibrav = 0, nat = 8, ntyp = 4
/
ATOMIC_SPECIES
Np 237.00 Np.upf
P 30.97 P.upf
La 138.91 La.upf
Ho 164.93 Ho.upf
CELL_PARAMETERS angstrom
-2.597 -0.667 -3.114
5.493 -1.510 -4.257
-2.253 -6.007 3.165
ATOMIC_POSITIONS angstrom
Np 1.448 -1.089 -3.686
P 3.551 -2.494 -2.427
P 1.101 -6.088 -2.326
P -0.311 -5.022 1.335
P -0.458 -2.096 -1.880
La -2.425 -3.337 0.026
La 1.620 -3.758 -0.546
Ho 0.000 0.000 0.000
! **VASP energy**: -60.059 eV for the cell shown


3.
! ReMo2Ir PBE-GGA optimized geometry; values from VASP
&SYSTEM
  ibrav = 0, nat = 4, ntyp = 3
/
ATOMIC_SPECIES
Mo 95.94 Mo.upf
Ir 192.22 Ir.upf
Re 186.21 Re.upf
CELL_PARAMETERS angstrom
3.279 0.000 0.000
0.000 3.279 0.000
0.000 0.000 5.801
ATOMIC_POSITIONS angstrom
Mo 0.000 0.000 5.698
Mo 1.639 1.639 1.522
Ir 1.639 1.639 4.460
Re 0.000 0.000 2.823
! **VASP energy**: -42.301 eV for the cell shown


4.
! Tb5ZrSn4 PBE-GGA optimized geometry; values from VASP
&SYSTEM
  ibrav = 0, nat = 10, ntyp = 3
/
ATOMIC_SPECIES
Tb 158.93 Tb.upf
Zr 91.22 Zr.upf
Sn 118.71 Sn.upf
CELL_PARAMETERS angstrom
-2.414 -1.522 2.738
-2.041 -6.498 -5.411
8.686 -2.093 3.639
ATOMIC_POSITIONS angstrom
Tb 2.430 -6.712 1.268
Tb -2.227 -4.010 -1.337
Tb 3.381 -3.870 3.686
Tb 1.802 -3.400 -0.301
Tb 0.850 -6.242 -2.720
Zr -1.207 -0.761 1.369
Sn 3.171 -7.822 -1.552
Sn 1.061 -2.291 2.518
Sn -0.469 -1.580 -1.292
Sn 4.701 -8.533 2.258
! **VASP energy**: -50.806 eV for the cell shown


5.
! MnAgBi2Se5 PBE-GGA optimized geometry; values from VASP
&SYSTEM
  ibrav = 0, nat = 18, ntyp = 4
/
ATOMIC_SPECIES
Se 78.96 Se.upf
Mn 54.94 Mn.upf
Bi 208.98 Bi.upf
Ag 107.87 Ag.upf
CELL_PARAMETERS angstrom
3.894 0.000 0.000
-1.947 9.262 0.000
0.000 0.000 14.149
ATOMIC_POSITIONS angstrom
Se 1.947 2.537 7.333
Se 1.947 3.967 12.968
Se 1.947 0.088 11.196
Se 0.000 9.174 4.122
Se 0.000 0.690 0.996
Se 1.947 8.572 8.070
Se 0.000 5.295 5.894
Se 0.000 5.217 9.250
Se 1.947 4.045 2.176
Se 0.000 6.725 0.258
Mn 1.947 5.147 7.507
Mn 0.000 4.115 0.433
Bi 1.947 7.381 10.508
Bi 0.000 1.881 3.433
Bi 0.000 1.879 9.178
Bi 1.947 7.383 2.103
Ag 1.947 1.418 13.468
Ag 0.000 7.844 6.393
! **VASP energy**: -79.127 eV for the cell shown
! **Energy relative to the elements, uncorrected**: -0.2620 eV per atom


6.
! LiCaHoAl PBE-GGA optimized geometry; values from VASP
&SYSTEM
  ibrav = 0, nat = 4, ntyp = 4
/
ATOMIC_SPECIES
Ho 164.93 Ho.upf
Li 6.94 Li.upf
Al 26.98 Al.upf
Ca 40.08 Ca.upf
CELL_PARAMETERS angstrom
-0.396 -3.220 4.107
3.434 0.342 3.934
-1.522 1.862 4.648
ATOMIC_POSITIONS angstrom
Ho 0.758 -0.508 6.344
Li 1.137 -0.762 9.517
Al 0.379 -0.254 3.172
Ca 0.000 0.000 0.000
! **VASP energy**: -12.822 eV for the cell shown


7.
! ThMg2P2Rh7 PBE-GGA optimized geometry; values from VASP
&SYSTEM
  ibrav = 0, nat = 12, ntyp = 4
/
ATOMIC_SPECIES
Rh 102.91 Rh.upf
Th 232.04 Th.upf
P 30.97 P.upf
Mg 24.30 Mg.upf
CELL_PARAMETERS angstrom
-1.401 -3.629 -1.045
1.308 0.505 -3.776
10.875 -6.630 0.754
ATOMIC_POSITIONS angstrom
Rh 8.209 -7.521 -0.329
Rh 5.988 -5.745 -2.755
Rh 2.573 -2.233 -3.738
Rh 9.560 -5.460 -1.691
Rh 1.222 -4.294 -2.376
Rh -0.046 -1.562 -2.411
Rh 4.794 -4.009 -1.312
Th 0.000 0.000 0.000
P 2.896 -2.933 -1.567
P 7.886 -6.821 -2.500
Mg 3.679 -4.953 -3.846
Mg 7.103 -4.801 -0.221
! **VASP energy**: -80.530 eV for the cell shown


8.
! UGeS PBE-GGA optimized geometry; values from VASP
&SYSTEM
  ibrav = 0, nat = 3, ntyp = 3
/
ATOMIC_SPECIES
Ge 72.64 Ge.upf
S 32.06 S.upf
U 238.03 U.upf
CELL_PARAMETERS angstrom
3.645 0.000 0.000
0.000 4.471 0.000
0.000 -2.235 3.872
ATOMIC_POSITIONS angstrom
Ge 2.432 0.000 2.581
S 0.602 0.000 0.000
U 0.612 2.235 1.291
! **VASP energy**: -21.177 eV for the cell shown
! **Energy relative to the elements, uncorrected**: -0.3814 eV per atom


9.
! TiSn2Se4 PBE-GGA optimized geometry; values from VASP
&SYSTEM
  ibrav = 0, nat = 7, ntyp = 3
/
ATOMIC_SPECIES
Se 78.96 Se.upf
Sn 118.71 Sn.upf
Ti 47.87 Ti.upf
CELL_PARAMETERS angstrom
-2.959 2.186 -3.183
0.710 -3.634 -3.155
-7.183 -4.529 -0.149
ATOMIC_POSITIONS angstrom
Se -5.110 -3.227 -1.182
Se -1.479 1.093 -1.592
Se 0.355 -1.817 -1.577
Se -4.322 -2.750 -5.305
Sn -2.903 -1.841 -2.283
Sn -6.529 -4.136 -4.204
Ti 0.000 0.000 0.000
! **VASP energy**: -33.062 eV for the cell shown
! **Energy relative to the elements, uncorrected**: -0.4604 eV per atom


10.
! TlFeIr2 PBE-GGA optimized geometry; values from VASP
&SYSTEM
  ibrav = 0, nat = 4, ntyp = 3
/
ATOMIC_SPECIES
Ir 192.22 Ir.upf
Tl 204.38 Tl.upf
Fe 55.84 Fe.upf
CELL_PARAMETERS angstrom
4.738 -0.026 0.010
3.870 2.733 0.010
0.894 0.281 4.927
ATOMIC_POSITIONS angstrom
Ir 4.813 1.514 2.314
Ir 8.546 2.688 0.178
Tl 7.126 2.242 3.710
Fe 2.375 0.747 1.237
! **VASP energy**: -27.098 eV for the cell shown


11.
! YTa3Re PBE-GGA optimized geometry; values from VASP
&SYSTEM
  ibrav = 0, nat = 5, ntyp = 3
/
ATOMIC_SPECIES
Re 186.21 Re.upf
Ta 180.95 Ta.upf
Y 88.91 Y.upf
CELL_PARAMETERS angstrom
-0.984 -4.340 2.098
4.614 -1.468 -0.874
1.397 1.793 4.364
ATOMIC_POSITIONS angstrom
Re 0.000 0.000 0.000
Ta 2.307 -0.734 -0.437
Ta 0.698 0.896 2.182
Ta -0.492 -2.170 1.049
Y 2.513 -2.008 2.794
! **VASP energy**: -50.127 eV for the cell shown


12.
! Dy3Tm2Pd3 PBE-GGA optimized geometry; values from VASP
&SYSTEM
  ibrav = 0, nat = 8, ntyp = 3
/
ATOMIC_SPECIES
Dy 162.50 Dy.upf
Pd 106.42 Pd.upf
Tm 168.93 Tm.upf
CELL_PARAMETERS angstrom
3.522 0.000 0.000
0.000 5.144 0.000
-1.761 -2.572 10.480
ATOMIC_POSITIONS angstrom
Dy 1.761 0.000 0.000
Dy 1.761 2.572 2.447
Dy 0.000 0.000 8.033
Pd 1.761 2.572 8.047
Pd 0.000 2.572 0.000
Pd 0.000 0.000 2.433
Tm 1.761 0.000 4.734
Tm 0.000 2.572 5.745
! **VASP energy**: -43.515 eV for the cell shown


> The highest VASP energy belongs to which entry?

LiCaHoAl


Copy entry 6 word for word.
! LiCaHoAl PBE-GGA optimized geometry; values from VASP
&SYSTEM
  ibrav = 0, nat = 4, ntyp = 4
/
ATOMIC_SPECIES
Ho 164.93 Ho.upf
Li 6.94 Li.upf
Al 26.98 Al.upf
Ca 40.08 Ca.upf
CELL_PARAMETERS angstrom
-0.396 -3.220 4.107
3.434 0.342 3.934
-1.522 1.862 4.648
ATOMIC_POSITIONS angstrom
Ho 0.758 -0.508 6.344
Li 1.137 -0.762 9.517
Al 0.379 -0.254 3.172
Ca 0.000 0.000 0.000
! **VASP energy**: -12.822 eV for the cell shown


Repeat the sixth record exactly.
! LiCaHoAl PBE-GGA optimized geometry; values from VASP
&SYSTEM
  ibrav = 0, nat = 4, ntyp = 4
/
ATOMIC_SPECIES
Ho 164.93 Ho.upf
Li 6.94 Li.upf
Al 26.98 Al.upf
Ca 40.08 Ca.upf
CELL_PARAMETERS angstrom
-0.396 -3.220 4.107
3.434 0.342 3.934
-1.522 1.862 4.648
ATOMIC_POSITIONS angstrom
Ho 0.758 -0.508 6.344
Li 1.137 -0.762 9.517
Al 0.379 -0.254 3.172
Ca 0.000 0.000 0.000
! **VASP energy**: -12.822 eV for the cell shown